1.
The following is a GGA-PBE calculation of YEr5Te4 after structural relaxation, from Alexandria.

Unit cell a=4.110 b=8.491 c=9.308 alpha=102.56 beta=102.75 gamma=90.00
Sites, in units of the cell vectors:
Te (0.986, 0.741, 0.973)
Te (0.014, 0.259, 0.027)
Te (0.669, 0.062, 0.338)
Te (0.331, 0.938, 0.662)
Y (0.500, 0.000, 0.000)
Er (0.163, 0.779, 0.325)
Er (0.837, 0.221, 0.675)
Er (0.500, 0.500, 0.000)
Er (0.810, 0.641, 0.619)
Er (0.190, 0.359, 0.381)


2.
The following is a GGA-PBE calculation of Cs4K after structural relaxation, from Alexandria.

Unit cell a=8.717 b=9.469 c=14.125 alpha=90.00 beta=90.00 gamma=109.32
Sites, in units of the cell vectors:
Cs (0.936, 0.319, 0.838)
Cs (0.025, 0.751, 0.593)
Cs (0.525, 0.751, 0.407)
Cs (0.064, 0.681, 0.162)
Cs (0.564, 0.681, 0.838)
Cs (0.975, 0.249, 0.407)
Cs (0.475, 0.249, 0.593)
Cs (0.436, 0.319, 0.162)
K (0.750, 0.000, 0.105)
K (0.250, 0.000, 0.895)

Properties
- Formation energy: 29 meV/atom


3.
The following is a GGA-PBE calculation of Pr4NiOsBr2 after structural relaxation, from Alexandria.

Unit cell a=4.140 b=7.090 c=8.255 alpha=106.71 beta=90.00 gamma=90.00
Sites, in units of the cell vectors:
Pr (0.500, 0.768, 0.807)
Pr (0.000, 0.271, 0.800)
Pr (0.000, 0.729, 0.200)
Pr (0.500, 0.232, 0.193)
Br (0.500, 0.000, 0.500)
Br (0.000, 0.500, 0.500)
Os (0.500, 0.500, 0.000)
Ni (0.000, 0.000, 0.000)


Number 1: energy -5.057 eV/atom. Number 2: energy -0.874 eV/atom. Number 3: energy -5.699 eV/atom.